{"formula": "BaLiIn2", "functional": "GGA-PBE", "state": "optimized geometry", "lattice": [[3.699, 0.000, 0.000], [0.000, 3.794, 0.000], [0.000, 0.000, 8.143]], "species": ["Ba", "Li", "In", "In"], "fractional_positions": [[0.000, 0.000, 0.000], [0.000, 0.000, 0.500], [0.500, 0.500, 0.313], [0.500, 0.500, 0.687]], "e_tot_ev_per_cell": -10.6, "n_ef_per_ev_fu": 2.454}

---

{"formula": "IrOs2Pt", "functional": "GGA-PBE", "state": "optimized geometry", "lattice": [[2.741, 0.000, 0.000], [0.000, 3.919, 0.000], [0.000, 0.000, 5.456]], "species": ["Ir", "Os", "Os", "Pt"], "fractional_positions": [[0.000, 0.000, 0.000], [0.500, 0.500, 0.243], [0.500, 0.500, 0.757], [0.000, 0.000, 0.500]], "e_tot_ev_per_cell": -36.7, "n_ef_per_ev_fu": 4.964}

---

{"formula": "MgGaPd3", "functional": "GGA-PBE", "state": "optimized geometry", "lattice": [[4.629, 0.000, 0.000], [0.000, 4.629, 0.000], [0.000, 0.000, 4.629]], "species": ["Mg", "Ga", "Pd", "Pd", "Pd"], "fractional_positions": [[0.000, 0.000, 0.000], [0.500, 0.500, 0.500], [0.000, 0.500, 0.500], [0.500, 0.000, 0.500], [0.500, 0.500, 0.000]], "e_tot_ev_per_cell": -20.7, "n_ef_per_ev_fu": 3.372}

---

{"formula": "Li2HoMg2", "functional": "GGA-PBE", "state": "optimized geometry", "lattice": [[-2.037, 2.037, 7.305], [2.037, -2.037, 7.305], [2.037, 2.037, -7.305]], "species": ["Li", "Li", "Ho", "Mg", "Mg"], "fractional_positions": [[0.250, 0.750, 0.500], [0.750, 0.250, 0.500], [0.000, 0.000, 0.000], [0.396, 0.396, 0.000], [0.604, 0.604, 0.000]], "e_tot_ev_per_cell": -11.2, "n_ef_per_ev_fu": 4.417}

---

{"formula": "CeYIrRh", "functional": "GGA-PBE", "state": "optimized geometry", "lattice": [[4.179, 0.000, 0.000], [0.000, 1.927, 5.374], [0.000, -1.927, 5.374]], "species": ["Ce", "Y", "Ir", "Rh"], "fractional_positions": [[0.000, 0.000, 0.000], [0.500, 0.282, 0.282], [0.500, 0.553, 0.553], [0.000, 0.736, 0.736]], "e_tot_ev_per_cell": -31.9, "n_ef_per_ev_fu": 3.055}

---

{"formula": "NaYC", "functional": "GGA-PBE", "state": "optimized geometry", "lattice": [[3.480, 0.000, 0.000], [0.000, 3.574, 0.000], [-1.688, 0.000, 11.811]], "species": ["Na", "Na", "Y", "Y", "C", "C"], "fractional_positions": [[0.000, 0.000, 0.000], [0.366, 0.500, 0.740], [0.133, 0.500, 0.250], [0.745, 0.000, 0.484], [0.596, 0.000, 0.175], [0.652, 0.000, 0.290]], "e_tot_ev_per_cell": -34.0, "n_ef_per_ev_fu": 1.175}

---

Number 1: DFT formation energy -31.4 kJ/mol of atoms. Number 2: DFT formation energy 15.0 kJ/mol of atoms. Number 3: DFT formation energy -9.4 kJ/mol of atoms. Number 4: DFT formation energy 8.2 kJ/mol of atoms. Number 5: DFT formation energy -78.5 kJ/mol of atoms. Number 6: DFT formation energy 0.3 kJ/mol of atoms.